The following is a PBE calculation of crystalline KRhPb2 at its relaxed geometry, from Alexandria.

Computed properties:
Final energy, eV per formula unit: -14.50
Space-group type: P4/mmm (123)
E_form, eV/atom: 0.343
Total magnetization, μB per formula unit: 0.0

a b c (Å): 4.723 4.723 4.600
angles (deg): 90.00 90.00 90.00
Fractional positions:
K (0.000, 0.000, 0.000)
Rh (0.500, 0.500, 0.000)
Pb (0.000, 0.500, 0.500)
Pb (0.500, 0.000, 0.500)